! Tb5Pm2Sc4 GGA-PBE optimized geometry; values from VASP
&SYSTEM
  ibrav = 0, nat = 11, ntyp = 3
/
ATOMIC_SPECIES
Tb 158.93 Tb.upf
Pm 145.00 Pm.upf
Sc 44.96 Sc.upf
CELL_PARAMETERS angstrom
9.787 0.000 0.000
0.000 3.538 0.000
-4.881 0.000 9.662
ATOMIC_POSITIONS crystal
Tb 0.000 0.000 0.000
Tb 0.038 0.000 0.677
Tb 0.417 0.000 0.830
Tb 0.583 0.000 0.170
Tb 0.962 0.000 0.323
Pm 0.355 0.000 0.322
Pm 0.645 0.000 0.678
Sc 0.271 0.500 0.554
Sc 0.273 0.500 0.996
Sc 0.727 0.500 0.004
Sc 0.729 0.500 0.446
! E_form in kJ/mol of formula units: 134
! Energy relative to the lowest polymorph listed for this composition in eV per formula unit: 0.000



! NbPdSe6 GGA-PBE optimized geometry; values from VASP
&SYSTEM
  ibrav = 0, nat = 8, ntyp = 3
/
ATOMIC_SPECIES
Nb 92.91 Nb.upf
Pd 106.42 Pd.upf
Se 78.96 Se.upf
CELL_PARAMETERS angstrom
6.203 0.000 0.000
2.851 5.573 0.000
3.097 1.034 5.400
ATOMIC_POSITIONS crystal
Nb 0.000 0.000 0.000
Pd 0.500 0.500 0.500
Se 0.026 0.696 0.807
Se 0.306 0.175 0.569
Se 0.411 0.684 0.093
Se 0.589 0.316 0.907
Se 0.694 0.825 0.431
Se 0.974 0.304 0.193
! E_form (uncorrected) in meV/atom: -243.8



! Zn3Ni13 GGA-PBE optimized geometry; values from VASP
&SYSTEM
  ibrav = 0, nat = 16, ntyp = 2
/
ATOMIC_SPECIES
Zn 65.41 Zn.upf
Ni 58.69 Ni.upf
CELL_PARAMETERS angstrom
7.121 0.000 0.000
0.000 3.543 3.582
0.000 -3.543 3.582
ATOMIC_POSITIONS crystal
Zn 0.000 0.000 0.000
Zn 0.254 0.261 0.261
Zn 0.746 0.261 0.261
Ni 0.000 0.004 0.507
Ni 0.000 0.507 0.004
Ni 0.000 0.513 0.513
Ni 0.252 0.756 0.756
Ni 0.253 0.259 0.757
Ni 0.253 0.757 0.259
Ni 0.500 0.003 0.003
Ni 0.500 0.003 0.513
Ni 0.500 0.512 0.512
Ni 0.500 0.513 0.003
Ni 0.747 0.259 0.757
Ni 0.747 0.757 0.259
Ni 0.748 0.756 0.756
! E_form in kJ/mol of formula units: -119



! Ti2CoPtN GGA-PBE optimized geometry; values from VASP
&SYSTEM
  ibrav = 0, nat = 5, ntyp = 4
/
ATOMIC_SPECIES
Ti 47.87 Ti.upf
Co 58.93 Co.upf
Pt 195.08 Pt.upf
N 14.01 N.upf
CELL_PARAMETERS angstrom
4.092 0.000 0.000
0.000 4.092 0.000
0.000 0.000 3.787
ATOMIC_POSITIONS crystal
Ti 0.000 0.500 0.000
Ti 0.500 0.000 0.000
Co 0.000 0.000 0.500
Pt 0.500 0.500 0.500
N 0.000 0.000 0.000
! E_form (uncorrected) in meV/atom: -953.5



! ReC2 GGA-PBE optimized geometry; values from VASP
&SYSTEM
  ibrav = 0, nat = 3, ntyp = 2
/
ATOMIC_SPECIES
Re 186.21 Re.upf
C 12.01 C.upf
CELL_PARAMETERS angstrom
3.664 0.000 0.000
-1.832 3.173 0.000
0.000 0.000 2.817
ATOMIC_POSITIONS crystal
Re 0.000 0.000 0.000
C 0.333 0.667 0.000
C 0.667 0.333 0.000
! E_form in kJ/mol of formula units: 615
! Energy relative to the lowest polymorph listed for this composition in eV per formula unit: 5.053



! Dy2AgPt GGA-PBE optimized geometry; values from VASP
&SYSTEM
  ibrav = 0, nat = 4, ntyp = 3
/
ATOMIC_SPECIES
Dy 162.50 Dy.upf
Ag 107.87 Ag.upf
Pt 195.08 Pt.upf
CELL_PARAMETERS angstrom
3.558 0.000 0.000
0.000 3.558 0.000
0.000 0.000 7.152
ATOMIC_POSITIONS crystal
Dy 0.000 0.000 0.235
Dy 0.000 0.000 0.765
Ag 0.500 0.500 0.500
Pt 0.500 0.500 0.000
! E_form in kJ/mol of formula units: -304



! Dy3PaP4 GGA-PBE optimized geometry; values from VASP
&SYSTEM
  ibrav = 0, nat = 8, ntyp = 3
/
ATOMIC_SPECIES
Dy 162.50 Dy.upf
Pa 231.04 Pa.upf
P 30.97 P.upf
CELL_PARAMETERS angstrom
3.986 -5.638 0.000
3.986 5.638 0.000
0.000 0.000 3.998
ATOMIC_POSITIONS crystal
Dy 0.000 0.000 0.000
Dy 0.000 0.500 0.500
Dy 0.500 0.000 0.500
Pa 0.500 0.500 0.000
P 0.253 0.253 0.500
P 0.253 0.747 0.000
P 0.747 0.253 0.000
P 0.747 0.747 0.500
! E_form in kJ/mol of formula units: -1195
! Energy relative to the lowest polymorph listed for this composition in eV per formula unit: 0.037



! FeReTcGe GGA-PBE optimized geometry; values from VASP
&SYSTEM
  ibrav = 0, nat = 4, ntyp = 4
/
ATOMIC_SPECIES
Fe 55.84 Fe.upf
Re 186.21 Re.upf
Tc 98.00 Tc.upf
Ge 72.64 Ge.upf
CELL_PARAMETERS angstrom
0.000 3.019 3.019
3.019 0.000 3.019
3.019 3.019 0.000
ATOMIC_POSITIONS crystal
Fe 0.000 0.000 0.000
Re 0.250 0.250 0.250
Tc 0.750 0.750 0.750
Ge 0.500 0.500 0.500
! E_form in kJ/mol of formula units: 27



! AcPm4Tm GGA-PBE optimized geometry; values from VASP
&SYSTEM
  ibrav = 0, nat = 12, ntyp = 3
/
ATOMIC_SPECIES
Ac 227.00 Ac.upf
Pm 145.00 Pm.upf
Tm 168.93 Tm.upf
CELL_PARAMETERS angstrom
3.562 -10.036 0.000
3.562 10.036 0.000
-0.002 0.000 6.004
ATOMIC_POSITIONS crystal
Ac 0.054 0.946 0.750
Ac 0.946 0.054 0.250
Pm 0.046 0.465 0.251
Pm 0.144 0.371 0.751
Pm 0.371 0.144 0.251
Pm 0.465 0.046 0.751
Pm 0.535 0.954 0.249
Pm 0.629 0.856 0.749
Pm 0.856 0.629 0.249
Pm 0.954 0.535 0.749
Tm 0.450 0.550 0.250
Tm 0.550 0.450 0.750
! E_form in kJ/mol of formula units: 97
! Energy relative to the lowest polymorph listed for this composition in eV per formula unit: 0.674



! TlH2Se GGA-PBE optimized geometry; values from VASP
&SYSTEM
  ibrav = 0, nat = 4, ntyp = 3
/
ATOMIC_SPECIES
Tl 204.38 Tl.upf
H 1.01 H.upf
Se 78.96 Se.upf
CELL_PARAMETERS angstrom
1.742 1.006 5.997
-1.742 1.006 5.997
0.000 -2.012 5.997
ATOMIC_POSITIONS crystal
Tl 0.000 0.000 0.000
H 0.152 0.152 0.152
H 0.848 0.848 0.848
Se 0.500 0.500 0.500
! Energy relative to the lowest polymorph listed for this composition in eV per formula unit: 2.274